[1]
An optimized crystal structure of MgCu2Ir. Source: Alexandria via LeMat-Bulk, functional PBE.

Lattice parameters (Å, degrees): 3.113 3.113 5.728 90.00 90.00 90.00
Element x y z (fractional)
Cu  0.500  0.500  0.240
Cu  0.000  0.000  0.023
Ir  0.000  0.000  0.487
Mg  0.500  0.500  0.750

DFT formation energy: -0.0473 eV/atom
V: 55.5 Å³/cell
space group: P4mm, No. 99
total moment: 0.00 μB per formula unit

---

[2]
An optimized crystal structure of Ga2Se3. Source: Alexandria via LeMat-Bulk, functional PBE.

Lattice parameters (Å, degrees): 6.830 6.830 6.830 146.82 130.59 60.82
Element x y z (fractional)
Se  0.604  0.840  0.764
Se  0.241  0.500  0.741
Se  0.924  0.160  0.764
Ga  0.651  0.660  0.991
Ga  0.330  0.340  0.991

formation energy (no corrections): -0.5821 eV per atom
V: 131.2 Å³/cell
space group: Imm2, No. 44
total moment: 0.00 μB per formula unit

---

[3]
An optimized crystal structure of ScAl2Co. Source: Alexandria via LeMat-Bulk, functional PBE.

Lattice parameters (Å, degrees): 5.173 6.955 14.115 90.00 90.00 90.00
Element x y z (fractional)
Al  0.942  0.049  0.213
Al  0.442  0.549  0.287
Al  0.747  0.944  0.541
Al  0.558  0.049  0.713
Al  0.058  0.951  0.787
Al  0.442  0.951  0.287
Al  0.753  0.944  0.041
Al  0.058  0.549  0.787
Al  0.253  0.444  0.459
Al  0.253  0.056  0.459
Al  0.747  0.556  0.541
Al  0.247  0.056  0.959
Al  0.247  0.444  0.959
Al  0.558  0.451  0.713
Al  0.753  0.556  0.041
Al  0.942  0.451  0.213
Sc  0.240  0.750  0.100
Sc  0.543  0.750  0.864
Sc  0.260  0.750  0.600
Sc  0.760  0.250  0.900
Sc  0.957  0.750  0.364
Sc  0.740  0.250  0.400
Sc  0.043  0.250  0.636
Sc  0.457  0.250  0.136
Co  0.212  0.250  0.311
Co  0.016  0.750  0.927
Co  0.788  0.750  0.689
Co  0.516  0.250  0.573
Co  0.984  0.250  0.073
Co  0.288  0.250  0.811
Co  0.484  0.750  0.427
Co  0.712  0.750  0.189

DFT formation energy: -0.5686 eV/atom
V: 507.8 Å³/cell
space group: Pnma, No. 62
total moment: 0.00 μB per formula unit

---

[4]
An optimized crystal structure of CsNaSi2. Source: Alexandria via LeMat-Bulk, functional PBE.

Lattice parameters (Å, degrees): 5.505 5.505 5.505 60.00 60.00 60.00
Element x y z (fractional)
Na  0.000  0.000  0.000
Cs  0.500  0.500  0.500
Si  0.250  0.250  0.250
Si  0.750  0.750  0.750

formation energy (no corrections): 0.8511 eV per atom
V: 118.0 Å³/cell
space group: Fm-3m, No. 225
total moment: 0.00 μB per formula unit

---

[5]
An optimized crystal structure of Tb3Ho2Er2. Source: Alexandria via LeMat-Bulk, functional PBE.

Lattice parameters (Å, degrees): 3.521 11.699 6.106 69.78 73.18 98.65
Element x y z (fractional)
Tb  0.429  0.571  0.714
Tb  0.000  0.000  0.000
Tb  0.571  0.429  0.286
Ho  0.143  0.858  0.571
Ho  0.857  0.142  0.429
Er  0.286  0.715  0.142
Er  0.714  0.285  0.858

DFT formation energy: 0.0180 eV/atom
V: 217.0 Å³/cell
space group: C2/m, No. 12
total moment: 0.00 μB per formula unit

---

[6]
An optimized crystal structure of Mg3ZrFe8. Source: Alexandria via LeMat-Bulk, functional PBE.

Lattice parameters (Å, degrees): 4.912 4.912 8.479 73.16 73.16 60.00
Last column: magnetic moment on the atom in μB.
Element x y z (fractional)
Fe  0.437  0.938  0.688  2.08
Fe  0.438  0.936  0.187  1.96
Fe  0.936  0.438  0.187  1.96
Fe  0.187  0.187  0.438  1.96
Fe  0.938  0.437  0.688  2.08
Fe  0.687  0.687  0.939  1.95
Fe  0.938  0.938  0.688  2.08
Fe  0.438  0.438  0.187  1.96
Mg  0.375  0.375  0.876  -0.05
Mg  0.002  0.002  0.995  -0.04
Mg  0.498  0.498  0.506  -0.04
Zr  0.876  0.876  0.373  -0.52

DFT formation energy: -0.0228 eV/atom
V: 167.0 Å³/cell
space group: R3m, No. 160
total moment: 14.79 μB per formula unit

---

[7]
An optimized crystal structure of DyHoSi. Source: Alexandria via LeMat-Bulk, functional PBE.

Lattice parameters (Å, degrees): 4.147 5.945 6.927 76.95 107.40 110.45
Element x y z (fractional)
Dy  0.016  0.585  0.408
Dy  0.844  0.966  0.685
Si  0.553  0.362  0.706
Si  0.308  0.189  0.387
Ho  0.257  0.504  0.970
Ho  0.604  0.047  0.123

formation energy (no corrections): -0.5239 eV per atom
V: 151.3 Å³/cell
space group: C2/m, No. 12
total moment: 0.00 μB per formula unit

---

[8]
An optimized crystal structure of CrSe3S. Source: Alexandria via LeMat-Bulk, functional PBE.

Lattice parameters (Å, degrees): 4.675 4.675 4.675 90.00 90.00 90.00
Element x y z (fractional)
Cr  0.000  0.000  0.000
Se  0.000  0.500  0.000
Se  0.500  0.000  0.000
Se  0.000  0.000  0.500
S  0.500  0.500  0.500

formation energy (no corrections): 0.4830 eV per atom
V: 102.2 Å³/cell
space group: Pm-3m, No. 221
total moment: 0.00 μB per formula unit

---

Look up the total moment of the seventh one.
0.00 μB per formula unit